Entry 1:
Density functional theory data (GGA-PBEsol) for a geometry-optimized KB6F6 structure.

Cell lengths 8.275, 8.245, 11.390 Å; angles 88.52, 87.06, 59.88 degrees
Atoms (fractional coordinates):
B 0.361 0.340 0.100
B 0.474 0.660 0.803
B 0.639 0.660 0.900
B 0.159 0.542 0.313
B 0.501 0.138 0.188
B 0.526 0.340 0.197
B 0.299 0.340 0.400
B 0.361 0.138 0.312
B 0.701 0.660 0.600
B 0.866 0.534 0.827
B 0.866 0.660 0.697
B 0.841 0.458 0.687
B 0.400 0.466 0.327
B 0.259 0.215 0.172
B 0.499 0.862 0.812
B 0.299 0.542 0.187
B 0.701 0.458 0.813
B 0.134 0.340 0.303
B 0.526 0.215 0.328
B 0.600 0.534 0.673
B 0.134 0.466 0.173
B 0.741 0.785 0.828
B 0.474 0.785 0.672
B 0.639 0.862 0.688
K 0.000 0.000 0.500
K 0.669 0.662 0.250
K 0.000 0.000 0.000
K 0.331 0.338 0.750
F 0.023 0.669 0.656
F 0.691 0.113 0.387
F 0.647 0.972 0.140
F 0.029 0.425 0.886
F 0.692 0.331 0.156
F 0.263 0.714 0.140
F 0.619 0.028 0.640
F 0.727 0.663 0.479
F 0.273 0.337 0.521
F 0.977 0.331 0.344
F 0.308 0.669 0.844
F 0.971 0.575 0.114
F 0.453 0.575 0.386
F 0.309 0.887 0.613
F 0.610 0.663 0.021
F 0.390 0.337 0.979
F 0.381 0.972 0.360
F 0.547 0.425 0.614
F 0.977 0.286 0.640
F 0.353 0.028 0.860
F 0.023 0.714 0.360
F 0.803 0.887 0.887
F 0.737 0.286 0.860
F 0.197 0.113 0.113

Values from the calculation:
Theoretical density: 2.16 g/cm3
DOS(E_F): 0.0000 states/eV per atom
Space-group type: C2/c
Formation energy from raw total energies: -24.712 eV per formula unit

---

Entry 2:
Density functional theory data (GGA-PBEsol) for a geometry-optimized LaCuBRu2 structure.

Cell lengths 4.522, 4.698, 4.698 Å; angles 90.00, 90.00, 90.00 degrees
Each line ends with the local moment (μB).
Atoms (fractional coordinates):
Ru 0.000 0.000 0.500  0.15
Ru 0.000 0.500 0.000  0.15
Cu 0.500 0.500 0.500  0.01
La 0.000 0.000 0.000  -0.01
B 0.500 0.000 0.000  0.00

Values from the calculation:
Theoretical density: 6.91 g/cm3
DOS(E_F): 1.4239 states/eV per atom
Space-group type: P4/mmm
Energy of formation: 2350.6 meV/atom

---

Entry 3:
Density functional theory data (GGA-PBEsol) for a geometry-optimized Mo2PtCl structure.

Cell lengths 2.737, 5.012, 5.012 Å; angles 111.14, 99.58, 99.58 degrees
Atoms (fractional coordinates):
Cl 0.500 0.500 0.500
Mo 0.000 0.000 0.500
Mo 0.000 0.500 0.000
Pt 0.500 0.000 0.000

Values from the calculation:
ΔE to the lowest computed polymorph: 0.318 eV/atom
Theoretical density: 11.45 g/cm3
DOS(E_F): 0.9733 states/eV per atom
Space-group type: C2/m
Formation energy from raw total energies: 2.315 eV per formula unit

---

Entry 4:
Density functional theory data (GGA-PBEsol) for a geometry-optimized LuGa4Ni structure.

Cell lengths 4.010, 6.469, 7.686 Å; angles 90.00, 105.12, 90.00 degrees
Atoms (fractional coordinates):
Ni 0.276 0.250 0.551
Ni 0.724 0.750 0.449
Lu 0.377 0.750 0.755
Lu 0.623 0.250 0.245
Ga 0.432 0.250 0.865
Ga 0.816 0.050 0.633
Ga 0.184 0.550 0.367
Ga 0.000 0.000 0.000
Ga 0.568 0.750 0.135
Ga 0.184 0.950 0.367
Ga 0.000 0.500 0.000
Ga 0.816 0.450 0.633

Values from the calculation:
Theoretical density: 8.84 g/cm3
DOS(E_F): 0.2940 states/eV per atom
Space-group type: Cmcm
Energy of formation: -553.8 meV/atom

---

Entry 5:
Density functional theory data (GGA-PBEsol) for a geometry-optimized NaMn2F structure.

Cell lengths 4.534, 4.534, 4.534 Å; angles 60.00, 60.00, 60.00 degrees
Each line ends with the local moment (μB).
Atoms (fractional coordinates):
Mn 0.250 0.250 0.250  3.94
Mn 0.750 0.750 0.750  3.94
F 0.000 0.000 0.000  0.06
Na 0.500 0.500 0.500  -0.03

Values from the calculation:
Theoretical density: 3.83 g/cm3
DOS(E_F): 0.8590 states/eV per atom
Space-group type: Fm-3m
Formation energy from raw total energies: 2.550 eV per formula unit

---

Entry 6:
Density functional theory data (GGA-PBEsol) for a geometry-optimized KB2Os structure.

Cell lengths 4.160, 4.160, 4.160 Å; angles 60.00, 60.00, 60.00 degrees
Atoms (fractional coordinates):
B 0.250 0.250 0.250
B 0.750 0.750 0.750
Os 0.500 0.500 0.500
K 0.000 0.000 0.000

Values from the calculation:
Theoretical density: 8.18 g/cm3
DOS(E_F): 0.8077 states/eV per atom
Space-group type: Fm-3m
Energy of formation: 1915.7 meV/atom

---

Entry 7:
Density functional theory data (GGA-PBEsol) for a geometry-optimized AsH3Os structure.

Cell lengths 3.509, 3.509, 3.509 Å; angles 90.00, 90.00, 90.00 degrees
Atoms (fractional coordinates):
Os 0.000 0.000 0.000
H 0.000 0.000 0.500
H 0.500 0.000 0.000
H 0.000 0.500 0.000
As 0.500 0.500 0.500

Values from the calculation:
Theoretical density: 10.31 g/cm3
DOS(E_F): 0.1750 states/eV per atom
Space-group type: Pm-3m
VASP energy: -24.49 eV per cell

---

Entry 8:
Density functional theory data (GGA-PBEsol) for a geometry-optimized Na3CrH14C6O16 structure.

Cell lengths 6.381, 7.559, 8.581 Å; angles 78.67, 83.92, 78.82 degrees
Each line ends with the local moment (μB).
Atoms (fractional coordinates):
C 0.365 0.869 0.795  0.01
C 0.635 0.131 0.205  0.01
C 0.799 0.096 0.683  0.01
C 0.276 0.267 0.919  0.01
C 0.724 0.733 0.081  0.01
C 0.201 0.904 0.317  0.01
H 0.885 0.439 0.208  0.00
H 0.230 0.968 0.417  0.00
H 0.770 0.032 0.583  0.00
H 0.950 0.749 0.753  0.00
H 0.115 0.561 0.792  0.00
H 0.699 0.007 0.293  0.00
H 0.388 0.264 0.433  0.00
H 0.596 0.851 0.043  0.00
H 0.050 0.251 0.247  0.00
H 0.460 0.311 0.586  0.00
H 0.612 0.736 0.567  0.00
H 0.540 0.689 0.414  0.00
H 0.404 0.149 0.957  0.00
H 0.301 0.993 0.707  0.00
O 0.735 0.263 0.679  0.01
O 0.667 0.708 0.460  0.00
O 0.322 0.425 0.888  0.01
O 0.984 0.621 0.734  0.00
O 0.477 0.243 0.244  0.01
O 0.523 0.757 0.756  0.01
O 0.101 0.020 0.205  -0.02
O 0.333 0.292 0.540  0.00
O 0.088 0.235 0.911  -0.01
O 0.265 0.737 0.321  0.01
O 0.912 0.765 0.089  -0.01
O 0.678 0.575 0.112  0.01
O 0.272 0.852 0.937  -0.01
O 0.728 0.148 0.063  -0.01
O 0.016 0.379 0.266  0.00
O 0.899 0.980 0.795  -0.02
Na 0.291 0.549 0.132  0.00
Na 0.000 0.500 0.500  0.00
Na 0.709 0.451 0.868  0.00
Cr 0.000 0.000 0.000  2.77

Values from the calculation:
Theoretical density: 1.94 g/cm3
DOS(E_F): 0.0000 states/eV per atom
Space-group type: P-1
VASP energy: -247.71 eV per cell

---

Entry 9:
Density functional theory data (GGA-PBEsol) for a geometry-optimized BaMoW2 structure.

Cell lengths 3.154, 3.154, 8.334 Å; angles 90.00, 90.00, 90.00 degrees
Atoms (fractional coordinates):
W 0.000 0.000 0.326
W 0.000 0.000 0.674
Mo 0.500 0.500 0.500
Ba 0.500 0.500 0.000

Values from the calculation:
ΔE to the lowest computed polymorph: 0.050 eV/atom
Theoretical density: 12.04 g/cm3
DOS(E_F): 1.1775 states/eV per atom
Space-group type: P4/mmm
Energy of formation: 905.6 meV/atom

---

Entry 10:
Density functional theory data (GGA-PBEsol) for a geometry-optimized BiAuS2Cl structure.

Cell lengths 5.164, 5.164, 5.163 Å; angles 90.00, 90.00, 90.00 degrees
Atoms (fractional coordinates):
Cl 0.000 0.000 0.500
S 0.500 0.000 0.000
S 0.000 0.500 0.000
Au 0.500 0.500 0.500
Bi 0.000 0.000 0.000

Values from the calculation:
Theoretical density: 6.10 g/cm3
DOS(E_F): 0.5020 states/eV per atom
Space-group type: P4/mmm
Formation energy from raw total energies: 3.035 eV per formula unit

---

Entry 11:
Density functional theory data (GGA-PBEsol) for a geometry-optimized Ba2LaCu3O7 structure.

Cell lengths 3.929, 3.929, 11.398 Å; angles 90.00, 90.00, 90.00 degrees
Atoms (fractional coordinates):
O 0.000 0.000 0.824
O 0.000 0.500 0.016
O 0.500 0.000 0.016
O 0.500 0.000 0.628
O 0.000 0.500 0.356
O 0.000 0.500 0.628
O 0.500 0.000 0.356
La 0.500 0.500 0.498
Ba 0.500 0.500 0.833
Ba 0.500 0.500 0.171
Cu 0.000 0.000 0.654
Cu 0.000 0.000 0.353
Cu 0.000 0.000 0.994

Values from the calculation:
ΔE to the lowest computed polymorph: 0.047 eV/atom
Theoretical density: 6.76 g/cm3
DOS(E_F): 0.3511 states/eV per atom
Space-group type: P4mm
Formation energy from raw total energies: -23.165 eV per formula unit

---

Entry 12:
Density functional theory data (GGA-PBEsol) for a geometry-optimized SiRhSeBr2 structure.

Cell lengths 4.851, 4.888, 4.888 Å; angles 90.00, 90.00, 90.00 degrees
Atoms (fractional coordinates):
Br 0.000 0.000 0.500
Br 0.000 0.500 0.000
Si 0.500 0.500 0.500
Rh 0.000 0.000 0.000
Se 0.500 0.000 0.000

Values from the calculation:
Theoretical density: 5.30 g/cm3
DOS(E_F): 0.4611 states/eV per atom
Space-group type: P4/mmm
Formation energy from raw total energies: 1.951 eV per formula unit

---

Entry 13:
Density functional theory data (GGA-PBEsol) for a geometry-optimized BaZr2Fe structure.

Cell lengths 5.035, 5.035, 5.035 Å; angles 60.00, 60.00, 60.00 degrees
Each line ends with the local moment (μB).
Atoms (fractional coordinates):
Fe 0.250 0.250 0.250  2.65
Ba 0.500 0.500 0.500  0.06
Zr 0.000 0.000 0.000  0.10
Zr 0.750 0.750 0.750  0.62

Values from the calculation:
ΔE to the lowest computed polymorph: 0.633 eV/atom
Theoretical density: 6.91 g/cm3
DOS(E_F): 1.6325 states/eV per atom
Space-group type: F-43m
Energy of formation: 870.3 meV/atom

---

Entry 14:
Density functional theory data (GGA-PBEsol) for a geometry-optimized AlCr2PAu structure.

Cell lengths 4.233, 4.233, 4.462 Å; angles 90.00, 90.00, 90.00 degrees
Each line ends with the local moment (μB).
Atoms (fractional coordinates):
Al 0.000 0.000 0.500  -0.04
Au 0.500 0.500 0.500  0.02
P 0.000 0.000 0.000  -0.09
Cr 0.000 0.500 0.000  2.16
Cr 0.500 0.000 0.000  2.16

Values from the calculation:
Theoretical density: 7.46 g/cm3
DOS(E_F): 0.8755 states/eV per atom
Space-group type: P4/mmm
Energy of formation: 433.8 meV/atom

---

Entry 15:
Density functional theory data (GGA-PBEsol) for a geometry-optimized KSr2 structure.

Cell lengths 4.064, 7.026, 7.026 Å; angles 120.00, 90.00, 90.00 degrees
Atoms (fractional coordinates):
Sr 0.500 0.667 0.333
Sr 0.500 0.333 0.667
K 0.000 0.000 0.000

Values from the calculation:
Theoretical density: 2.05 g/cm3
DOS(E_F): 0.9550 states/eV per atom
Space-group type: P6/mmm
Energy of formation: 177.8 meV/atom

---

Entry 16:
Density functional theory data (GGA-PBEsol) for a geometry-optimized YPdAu2 structure.

Cell lengths 4.726, 4.726, 4.726 Å; angles 60.00, 60.00, 60.00 degrees
Atoms (fractional coordinates):
Au 0.250 0.250 0.250
Au 0.750 0.750 0.750
Pd 0.500 0.500 0.500
Y 0.000 0.000 0.000

Values from the calculation:
Theoretical density: 13.11 g/cm3
DOS(E_F): 0.3905 states/eV per atom
Space-group type: Fm-3m
Energy of formation: -674.4 meV/atom

---

Entry 17:
Density functional theory data (GGA-PBEsol) for a geometry-optimized MgPW2 structure.

Cell lengths 3.378, 4.178, 4.178 Å; angles 98.85, 90.00, 90.00 degrees
Atoms (fractional coordinates):
P 0.500 0.500 0.500
Mg 0.500 0.000 0.000
W 0.000 0.000 0.500
W 0.000 0.500 0.000

Values from the calculation:
ΔE to the lowest computed polymorph: 0.330 eV/atom
Theoretical density: 12.05 g/cm3
DOS(E_F): 0.8348 states/eV per atom
Space-group type: Cmmm
Energy of formation: 548.7 meV/atom

---

Entry 18:
Density functional theory data (GGA-PBEsol) for a geometry-optimized ScIr2 structure.

Cell lengths 2.802, 2.802, 6.256 Å; angles 102.94, 102.94, 90.00 degrees
Atoms (fractional coordinates):
Sc 0.000 0.000 0.000
Ir 0.673 0.673 0.346
Ir 0.327 0.327 0.654

Values from the calculation:
Theoretical density: 15.31 g/cm3
DOS(E_F): 1.0594 states/eV per atom
Space-group type: I4/mmm
Energy of formation: -426.2 meV/atom

---

Entry 19:
Density functional theory data (GGA-PBEsol) for a geometry-optimized TcTeOs2 structure.

Cell lengths 2.875, 3.762, 5.864 Å; angles 90.00, 90.00, 90.00 degrees
Atoms (fractional coordinates):
Os 0.500 0.500 0.247
Os 0.000 0.000 0.033
Te 0.500 0.500 0.743
Tc 0.000 0.000 0.476

Values from the calculation:
ΔE to the lowest computed polymorph: 0.000 eV/atom
Theoretical density: 15.87 g/cm3
DOS(E_F): 1.0195 states/eV per atom
Space-group type: Pmm2
Formation energy from raw total energies: 2.534 eV per formula unit

---

Entry 20:
Density functional theory data (GGA-PBEsol) for a geometry-optimized InHg3 structure.

Cell lengths 3.327, 3.327, 10.160 Å; angles 80.58, 80.58, 60.00 degrees
Atoms (fractional coordinates):
Hg 0.248 0.248 0.255
Hg 0.752 0.752 0.745
Hg 0.500 0.500 0.500
In 0.000 0.000 0.000

Values from the calculation:
Theoretical density: 12.45 g/cm3
DOS(E_F): 0.3171 states/eV per atom
Space-group type: R-3m
Energy of formation: -6.6 meV/atom

---

Entry 21:
Density functional theory data (GGA-PBEsol) for a geometry-optimized Dy5B2C5 structure.

Cell lengths 8.049, 8.049, 10.653 Å; angles 90.00, 90.00, 90.00 degrees
Atoms (fractional coordinates):
C 0.302 0.400 0.377
C 0.198 0.900 0.123
C 0.000 0.500 0.099
C 0.100 0.198 0.877
C 0.400 0.698 0.623
C 0.600 0.698 0.123
C 0.400 0.302 0.123
C 0.900 0.802 0.877
C 0.698 0.400 0.877
C 0.802 0.100 0.123
C 0.500 0.000 0.901
C 0.900 0.198 0.377
C 0.698 0.600 0.377
C 0.198 0.100 0.623
C 0.802 0.900 0.623
C 0.600 0.302 0.623
C 0.000 0.500 0.599
C 0.100 0.802 0.377
C 0.500 0.000 0.401
C 0.302 0.600 0.877
Dy 0.595 0.288 0.399
Dy 0.000 0.500 0.360
Dy 0.500 0.000 0.140
Dy 0.500 0.000 0.640
Dy 0.905 0.788 0.101
Dy 0.212 0.095 0.399
Dy 0.712 0.595 0.601
Dy 0.788 0.905 0.399
Dy 0.095 0.212 0.101
Dy 0.405 0.288 0.899
Dy 0.095 0.788 0.601
Dy 0.288 0.405 0.601
Dy 0.288 0.595 0.101
Dy 0.000 0.500 0.860
Dy 0.905 0.212 0.601
Dy 0.212 0.905 0.899
Dy 0.595 0.712 0.899
Dy 0.712 0.405 0.101
Dy 0.405 0.712 0.399
Dy 0.788 0.095 0.899
B 0.844 0.156 0.250
B 0.156 0.156 0.750
B 0.156 0.844 0.250
B 0.656 0.656 0.250
B 0.844 0.844 0.750
B 0.344 0.344 0.250
B 0.656 0.344 0.750
B 0.344 0.656 0.750

Values from the calculation:
Theoretical density: 8.61 g/cm3
DOS(E_F): 0.2873 states/eV per atom
Space-group type: P4/ncc
Energy of formation: -468.4 meV/atom

---

Entry 22:
Density functional theory data (GGA-PBEsol) for a geometry-optimized LaYSc structure.

Cell lengths 3.472, 3.472, 8.373 Å; angles 90.00, 90.00, 120.00 degrees
Atoms (fractional coordinates):
Y 0.667 0.333 0.347
La 0.000 0.000 0.990
Sc 0.333 0.667 0.664

Values from the calculation:
ΔE to the lowest computed polymorph: 0.000 eV/atom
Theoretical density: 5.18 g/cm3
DOS(E_F): 1.4451 states/eV per atom
Space-group type: P3m1
Energy of formation: 52.7 meV/atom